Record 1
LiCrFeRu after structural relaxation, computed with PBE.

abc: 5.723 5.723 5.723
angles: 90.00 90.00 90.00
Space group F-43m (No. 216)
One atom of each set of equivalent atoms:
Li  0.000  0.000  0.000 (multiplicity 4)
Cr  0.000  0.000  0.500 (multiplicity 4)
Fe  0.250  0.250  0.750 (multiplicity 4)
Ru  0.250  0.250  0.250 (multiplicity 4)

Computed properties:
**Magnetization**: 3.0 Bohr magnetons per cell
**Calculated formation energy**: 15.88 kJ per mole of atoms
**V**: 46.9 Å³/f.u.
**E_tot**: -7.154 eV/atom

Record 2
LuCrFe4 after structural relaxation, computed with PBE.

abc: 6.859 6.859 6.859
angles: 90.00 90.00 90.00
Space group F-43m (No. 216)
One atom of each set of equivalent atoms:
Lu  0.000  0.000  0.000 (multiplicity 4)
Cr  0.250  0.250  0.250 (multiplicity 4)
Fe  0.124  0.124  0.624 (multiplicity 16)

Computed properties:
**Magnetization**: 33.5 Bohr magnetons per cell
**Calculated formation energy**: 9.49 kJ per mole of atoms
**V**: 80.7 Å³/f.u.
**E_tot**: -7.901 eV/atom

Record 3
MgCr2Fe after structural relaxation, computed with PBE.

abc: 2.6103 2.6103 26.2487
angles: 90.00 90.00 120.00
Space group R-3m (No. 166, hexagonal axes)
One atom of each set of equivalent atoms:
Mg  0.0000  0.0000  0.0000 (multiplicity 3)
Cr  0.0000  0.0000  0.2414 (multiplicity 6)
Fe  0.0000  0.0000  0.5000 (multiplicity 3)

Computed properties:
**Magnetization**: 0.3 Bohr magnetons per cell
**Calculated formation energy**: 45.62 kJ per mole of atoms
**V**: 51.6 Å³/f.u.
**E_tot**: -6.853 eV/atom